VASP calculation (GGA-PBE) on a geometry-optimized NdGdGaCo structure.

Cell lengths 7.121, 7.121, 7.121 Å; angles 90.00, 90.00, 90.00 degrees
Space group F-43m (No. 216)
One atom of each set of equivalent atoms:
Nd 0.000 0.000 0.000 [4 per cell]
Gd 0.000 0.000 0.500 [4 per cell]
Ga 0.250 0.250 0.250 [4 per cell]
Co 0.250 0.250 0.750 [4 per cell]

Results
Final energy in eV per atom: -7.4777
Size of the total moment in μB per atom: 2.008
N(E_F) in states/eV per cell: 11.79